Material: ZnCr2Sb2
Method: DFT, GGA-PBE
State: optimized geometry

Structure (extended XYZ):
```
10
Lattice="7.080 0.000 0.000 0.000 7.080 0.000 0.000 0.000 3.624" Properties=species:S:1:pos:R:3 pbc="T T T"
Zn 0.000 0.000 0.000
Zn 3.540 3.540 0.000
Cr 0.992 2.548 0.000
Cr 2.548 6.088 0.000
Cr 4.532 0.992 0.000
Cr 6.088 4.532 0.000
Sb 1.129 4.668 1.812
Sb 2.411 1.129 1.812
Sb 4.668 5.951 1.812
Sb 5.951 2.411 1.812
```

Calculated values
Distance to the lowest polymorph of the same formula = 0.000 eV per atom
Space group = No. 127
Density of states at the Fermi level = 0.610 states/eV per atom